# Cd2SiW | the Alexandria database | PBE | optimized geometry
# E_tot, eV per cell: -17.62
# Formation energy from raw total energies, eV/f.u.: 2.6
# Spin magnetization, μB per atom: 0.00
# Calculated volume, A^3/atom: 18.3
data_Cd2SiW
_space_group_name_H-M_alt 'P m m m'
_space_group_IT_number 47
_cell_length_a 2.8010
_cell_length_b 4.9151
_cell_length_c 5.3261
_cell_angle_alpha 90.00
_cell_angle_beta 90.00
_cell_angle_gamma 90.00
loop_
_space_group_symop_operation_xyz
'x,y,z'
'-x,-y,-z'
'-x,-y,z'
'x,y,-z'
'x,-y,-z'
'-x,y,z'
'-x,y,-z'
'x,-y,z'
loop_
_atom_site_label
_atom_site_type_symbol
_atom_site_fract_x
_atom_site_fract_y
_atom_site_fract_z
_atom_site_occupancy
Cd1 Cd 0.0000 0.0000 0.2461 1
Si1 Si 0.5000 0.5000 0.5000 1
W1 W 0.5000 0.5000 0.0000 1



# Cd2SiW | the Alexandria database | PBE | optimized geometry
# E_tot, eV per cell: -19.06
# Formation energy from raw total energies, eV/f.u.: 1.1
# Spin magnetization, μB per atom: 0.00
# Calculated volume, A^3/atom: 18.6
data_Cd2SiW
_space_group_name_H-M_alt 'P 4 m m'
_space_group_IT_number 99
_cell_length_a 3.2689
_cell_length_b 3.2689
_cell_length_c 6.9720
_cell_angle_alpha 90.00
_cell_angle_beta 90.00
_cell_angle_gamma 90.00
loop_
_space_group_symop_operation_xyz
'x,y,z'
'-y,x,z'
'-x,-y,z'
'y,-x,z'
'-x,y,z'
'y,x,z'
'x,-y,z'
'-y,-x,z'
loop_
_atom_site_label
_atom_site_type_symbol
_atom_site_fract_x
_atom_site_fract_y
_atom_site_fract_z
_atom_site_occupancy
Cd1 Cd 0.0000 0.0000 0.0000 1
Cd2 Cd 0.5000 0.5000 0.2891 1
Si1 Si 0.0000 0.0000 0.5798 1
W1 W 0.5000 0.5000 0.7146 1



# Cd2SiW | the Alexandria database | PBE | optimized geometry
# E_tot, eV per cell: -36.01
# Formation energy from raw total energies, eV/f.u.: 2.2
# Spin magnetization, μB per atom: 0.00
# Calculated volume, A^3/atom: 18.2
data_Cd2SiW
_space_group_name_H-M_alt 'I m m 2'
_space_group_IT_number 44
_cell_length_a 3.5895
_cell_length_b 4.4210
_cell_length_c 9.1633
_cell_angle_alpha 90.00
_cell_angle_beta 90.00
_cell_angle_gamma 90.00
loop_
_space_group_symop_operation_xyz
'x,y,z'
'-x,-y,z'
'-x,y,z'
'x,-y,z'
'x+1/2,y+1/2,z+1/2'
'-x+1/2,-y+1/2,z+1/2'
'-x+1/2,y+1/2,z+1/2'
'x+1/2,-y+1/2,z+1/2'
loop_
_atom_site_label
_atom_site_type_symbol
_atom_site_fract_x
_atom_site_fract_y
_atom_site_fract_z
_atom_site_occupancy
Cd1 Cd 0.0000 0.0000 0.0000 1
Cd2 Cd 0.0000 0.5000 0.2248 1
Si1 Si 0.0000 0.5000 0.7645 1
W1 W 0.0000 0.0000 0.4547 1



# Cd2SiW | the Alexandria database | PBE | optimized geometry
# E_tot, eV per cell: -18.87
# Formation energy from raw total energies, eV/f.u.: 1.3
# Spin magnetization, μB per atom: 0.00
# Calculated volume, A^3/atom: 19.2
data_Cd2SiW
_space_group_name_H-M_alt 'P 1 m 1'
_space_group_IT_number 6
_cell_length_a 2.7960
_cell_length_b 4.1208
_cell_length_c 6.7965
_cell_angle_alpha 90.00
_cell_angle_beta 101.76
_cell_angle_gamma 90.00
loop_
_space_group_symop_operation_xyz
'x,y,z'
'x,-y,z'
loop_
_atom_site_label
_atom_site_type_symbol
_atom_site_fract_x
_atom_site_fract_y
_atom_site_fract_z
_atom_site_occupancy
Cd1 Cd 0.0000 0.0000 0.0000 1
Cd2 Cd 0.3677 0.5000 0.7333 1
Si1 Si 0.1638 0.5000 0.3297 1
W1 W 0.6996 0.0000 0.4035 1



# Cd2SiW | the Alexandria database | PBE | optimized geometry
# E_tot, eV per cell: -17.73
# Formation energy from raw total energies, eV/f.u.: 2.5
# Spin magnetization, μB per atom: 0.00
# Calculated volume, A^3/atom: 17.6
data_Cd2SiW
_space_group_name_H-M_alt 'P 4/m m m'
_space_group_IT_number 123
_space_group_name_Hall '-P 4 2'
_cell_length_a 3.8200
_cell_length_b 3.8200
_cell_length_c 4.8332
_cell_angle_alpha 90.00
_cell_angle_beta 90.00
_cell_angle_gamma 90.00
loop_
_atom_site_label
_atom_site_type_symbol
_atom_site_fract_x
_atom_site_fract_y
_atom_site_fract_z
_atom_site_occupancy
Cd1 Cd 0.0000 0.5000 0.0000 1
Si1 Si 0.0000 0.0000 0.5000 1
W1 W 0.5000 0.5000 0.5000 1



# Cd2SiW | the Alexandria database | PBE | optimized geometry
# E_tot, eV per cell: -35.82
# Formation energy from raw total energies, eV/f.u.: 2.3
# Spin magnetization, μB per atom: 0.00
# Calculated volume, A^3/atom: 18.0
data_Cd2SiW
_space_group_name_H-M_alt 'C m m m'
_space_group_IT_number 65
_space_group_name_Hall '-C 2 2'
_cell_length_a 5.3952
_cell_length_b 9.0962
_cell_length_c 2.9376
_cell_angle_alpha 90.00
_cell_angle_beta 90.00
_cell_angle_gamma 90.00
loop_
_atom_site_label
_atom_site_type_symbol
_atom_site_fract_x
_atom_site_fract_y
_atom_site_fract_z
_atom_site_occupancy
Cd1 Cd 0.2500 0.2500 0.0000 1
Si1 Si 0.0000 0.0000 0.5000 1
W1 W 0.0000 0.5000 0.5000 1



# ZrCd2SiW | the Alexandria database | PBE | optimized geometry
# E_tot, eV per cell: -23.69
# Formation energy from raw total energies, eV/f.u.: 5.1
# Spin magnetization, μB per atom: 0.00
# Calculated volume, A^3/atom: 24.5
data_ZrCd2SiW
_space_group_name_H-M_alt 'P 4/m m m'
_space_group_IT_number 123
_space_group_name_Hall '-P 4 2'
_cell_length_a 5.1411
_cell_length_b 5.1411
_cell_length_c 4.6308
_cell_angle_alpha 90.00
_cell_angle_beta 90.00
_cell_angle_gamma 90.00
loop_
_atom_site_label
_atom_site_type_symbol
_atom_site_fract_x
_atom_site_fract_y
_atom_site_fract_z
_atom_site_occupancy
Zr1 Zr 0.0000 0.0000 0.0000 1
Cd1 Cd 0.0000 0.5000 0.5000 1
Si1 Si 0.5000 0.5000 0.0000 1
W1 W 0.5000 0.5000 0.5000 1



# YCdSi2 | the Alexandria database | PBE | optimized geometry
# E_tot, eV per cell: -55.33
# Formation energy from raw total energies, eV/f.u.: -0.2
# Spin magnetization, μB per atom: 0.00
# Calculated volume, A^3/atom: 23.4
data_YCdSi2
_space_group_name_H-M_alt 'R 3 m'
_space_group_IT_number 160
_space_group_name_Hall 'R 3 -2"'
_cell_length_a 3.7764
_cell_length_b 3.7764
_cell_length_c 22.7551
_cell_angle_alpha 90.00
_cell_angle_beta 90.00
_cell_angle_gamma 120.00
loop_
_atom_site_label
_atom_site_type_symbol
_atom_site_fract_x
_atom_site_fract_y
_atom_site_fract_z
_atom_site_occupancy
Y1 Y 0.0000 0.0000 0.0000 1
Cd1 Cd 0.0000 0.0000 0.7732 1
Si1 Si 0.0000 0.0000 0.2489 1
Si2 Si 0.0000 0.0000 0.5415 1